# TlNiSb2Ru

A relaxed TlNiSb2Ru crystal (GGA-PBE, Alexandria).

electronic total energy	-4.3091	eV per atom
uncorrected formation energy	824.5	meV per atom

Cell lengths 4.907, 4.907, 4.899 Å; angles 90.00, 90.00, 90.00 degrees
Fractional positions:
Tl1 0.000 0.000 0.000
Ni1 0.000 0.000 0.500
Sb1 0.000 0.500 0.500
Sb2 0.500 0.000 0.500
Ru1 0.500 0.500 0.000

# Y2NiSbRu

A relaxed Y2NiSbRu crystal (GGA-PBE, Alexandria).

electronic total energy	-6.5199	eV per atom
uncorrected formation energy	-98.3	meV per atom

Cell lengths 5.193, 5.193, 4.439 Å; angles 90.00, 90.00, 90.00 degrees
Fractional positions:
Y1 0.000 0.500 0.000
Y2 0.500 0.000 0.000
Ni1 0.000 0.000 0.000
Sb1 0.500 0.500 0.500
Ru1 0.000 0.000 0.500